[1]
{
  "formula": "Cs2GeBrCl6",
  "functional": "PBE",
  "state": "relaxed",
  "lattice": [[-2.413, -3.535, -6.808], [-4.438, -5.178, 4.262], [-7.502, -1.075, -1.532]],
  "species": ["Cs", "Cs", "Ge", "Br", "Cl", "Cl", "Cl", "Cl", "Cl", "Cl"],
  "frac_coords": [[0.750, 0.250, 0.500], [0.250, 0.750, 0.500], [0.500, 0.500, 0.000], [0.000, 0.000, 0.000], [0.271, 0.271, 0.458], [0.729, 0.729, 0.542], [0.295, 0.295, 0.000], [0.705, 0.705, 0.000], [0.705, 0.295, 0.000], [0.295, 0.705, 0.000]],
  "e_tot_ev_per_atom": -3.05,
  "magmom_total_mub_per_atom": 0.100,
  "e_form_raw_ev_per_fu": -11.39
}

---

[2]
{
  "formula": "CsGeBrCl2",
  "functional": "PBE",
  "state": "relaxed",
  "lattice": [[-2.073, 1.553, 4.679], [4.374, -1.762, 2.523], [2.384, 5.036, -0.615]],
  "species": ["Cs", "Ge", "Br", "Cl", "Cl"],
  "frac_coords": [[0.500, 0.500, 0.500], [0.000, 0.000, 0.000], [0.000, 0.000, 0.500], [0.000, 0.500, 0.000], [0.500, 0.000, 0.000]],
  "e_tot_ev_per_atom": -3.41,
  "magmom_total_mub_per_atom": 0.000,
  "e_form_raw_ev_per_fu": -6.23
}

---

[3]
{
  "formula": "Cs2GeBr3Cl",
  "functional": "PBE",
  "state": "relaxed",
  "lattice": [[5.372, 0.000, 0.000], [0.000, 5.592, 0.000], [-2.686, -2.796, 9.103]],
  "species": ["Cs", "Cs", "Ge", "Br", "Br", "Br", "Cl"],
  "frac_coords": [[0.641, 0.641, 0.282], [0.359, 0.359, 0.718], [0.000, 0.000, 0.000], [0.000, 0.500, 0.000], [0.156, 0.156, 0.312], [0.844, 0.844, 0.688], [0.500, 0.000, 0.000]],
  "e_tot_ev_per_atom": -3.24,
  "magmom_total_mub_per_atom": 0.000,
  "e_form_raw_ev_per_fu": -9.52
}